Entry 1:
The following is a DFT calculation (GGA-PBE) of crystalline Ca3P2Pd9Pb at its relaxed geometry.

Calculated values
The density of states at the Fermi level comes out at 0.363 states/eV per atom. As for the formation energy: -0.5960 eV/atom. The total magnetization is 0.00 μB per cell. Its space group is P-3m1, No. 164. For the total energy, the calculation gives -76.2 eV per cell.

Structure (POSCAR):
```
Ca3P2Pd9Pb
1.0
-3.4140 4.2720 -3.0401
-2.3832 -5.6704 1.1467
-3.4624 3.1313 8.2884
Ca P Pd Pb
3 2 9 1
Direct
0.3333 0.6667 0.7168 Ca
0.0000 0.0000 0.0000 Ca
0.6667 0.3333 0.2832 Ca
0.3333 0.6667 0.1583 P
0.6667 0.3333 0.8417 P
0.8501 0.1499 0.7307 Pd
0.8501 0.7003 0.7307 Pd
0.2997 0.1499 0.7307 Pd
0.7003 0.8501 0.2693 Pd
0.1499 0.2997 0.2693 Pd
0.1499 0.8501 0.2693 Pd
0.5000 0.0000 0.0000 Pd
0.0000 0.5000 0.0000 Pd
0.5000 0.5000 0.0000 Pd
0.0000 0.0000 0.5000 Pb
```

Entry 2:
The following is a DFT calculation (GGA-PBE) of crystalline Ca3P2Pd4Pb2 at its relaxed geometry.

Calculated values
The density of states at the Fermi level comes out at 0.199 states/eV per atom. As for the formation energy: -0.6949 eV/atom. The total magnetization is 0.00 μB per cell. Its space group is P-3m1, No. 164. For the total energy, the calculation gives -52.7 eV per cell.

Structure (POSCAR):
```
Ca3P2Pd4Pb2
1.0
-3.9858 -1.0409 1.7097
3.6513 -0.2362 2.5506
-1.7876 13.0299 3.7658
Ca P Pd Pb
3 2 4 2
Direct
0.0000 0.0000 0.7471 Ca
0.0000 0.0000 0.0000 Ca
0.0000 0.0000 0.2529 Ca
0.6667 0.3333 0.8483 P
0.3333 0.6667 0.1517 P
0.6667 0.3333 0.1348 Pd
0.3333 0.6667 0.8652 Pd
0.6667 0.3333 0.6541 Pd
0.3333 0.6667 0.3459 Pd
0.6667 0.3333 0.4318 Pb
0.3333 0.6667 0.5682 Pb
```